Ho5Tm2Th2: optimized geometry, PBE.

Volume (Å³/f.u.): 314.06
Excess energy over the best structure of this formula in the dataset (eV/atom): 0.049
Electronic total energy (eV per cell): -43.980
ΔH_f (0 K) (eV per formula unit): 2.691

Structure (CIF):
```
data_Ho5Tm2Th2
_chemical_formula_sum 'Ho5 Tm2 Th2'
_symmetry_space_group_name_H-M 'P -1'
_symmetry_Int_Tables_number 2
_cell_length_a 3.465
_cell_length_b 8.144
_cell_length_c 11.504
_cell_angle_alpha 78.23
_cell_angle_beta 81.35
_cell_angle_gamma 89.92
loop_
_symmetry_equiv_pos_as_xyz
'x,y,z'
'-x,-y,-z'
loop_
_atom_site_label
_atom_site_type_symbol
_atom_site_fract_x
_atom_site_fract_y
_atom_site_fract_z
Ho1 Ho 0.000 0.000 0.000
Ho2 Ho 0.090 0.734 0.818
Ho3 Ho 0.306 0.443 0.389
Tm1 Tm 0.162 0.181 0.677
Th1 Th 0.448 0.641 0.104
```

KBa3Ac2Te6: optimized geometry, PBE.

Volume (Å³/f.u.): 501.53
Electronic total energy (eV per cell): -106.759
Raw formation energy (eV per formula unit): -19.45

Structure (CIF):
```
data_KBa3Ac2Te6
_chemical_formula_sum 'K2 Ba6 Ac4 Te12'
_symmetry_space_group_name_H-M 'C 1 2/m 1'
_symmetry_Int_Tables_number 12
_cell_length_a 21.344
_cell_length_b 4.892
_cell_length_c 9.860
_cell_angle_alpha 90.00
_cell_angle_beta 103.00
_cell_angle_gamma 90.00
loop_
_symmetry_equiv_pos_as_xyz
'x,y,z'
'-x,-y,-z'
'-x,y,-z'
'x,-y,z'
'x+1/2,y+1/2,z'
'-x+1/2,-y+1/2,-z'
'-x+1/2,y+1/2,-z'
'x+1/2,-y+1/2,z'
loop_
_atom_site_label
_atom_site_type_symbol
_atom_site_fract_x
_atom_site_fract_y
_atom_site_fract_z
K1 K 0.000 0.000 0.000
Ba1 Ba 0.000 0.000 0.500
Ba2 Ba 0.161 0.500 0.836
Ac1 Ac 0.165 0.500 0.332
Te1 Te 0.007 0.500 0.256
Te2 Te 0.171 0.000 0.100
Te3 Te 0.171 0.000 0.577
```